Compound: NpVCd2O6
Source: the Alexandria database
Functional: GGA+U
Structure: relaxed

Unit cell a=5.5846 b=5.6852 c=9.7921 alpha=90.00 beta=124.33 gamma=90.00
Space group P2_1/c (No. 14)
Asymmetric unit:
Np 0.0000 0.0000 0.0000 x2
V 0.5000 0.0000 0.5000 x2
Cd 0.2436 0.0415 0.7488 x4
O 0.1347 0.1920 0.4453 x4
O 0.2579 0.7016 0.4394 x4
O 0.3674 0.0520 0.2610 x4

Output
D(E_F)	0.6438	states/eV per atom
energy	-7.135	eV per atom

Compound: NpVCd2O8
Source: the Alexandria database
Functional: GGA+U
Structure: relaxed

Unit cell a=5.0174 b=6.4386 c=5.0305 alpha=90.00 beta=92.96 gamma=90.00
Space group P2/m (No. 10)
Asymmetric unit:
Np 0.0000 0.0000 0.0000 x1
V 0.0000 0.5000 0.0000 x1
Cd 0.5000 0.2655 0.5000 x2
O 0.1722 0.2589 0.8296 x4
O 0.2602 0.5000 0.2614 x2
O 0.2803 0.0000 0.2819 x2

Output
energy	-6.928	eV per atom

Compound: NpV2CdO8
Source: the Alexandria database
Functional: GGA+U
Structure: relaxed

Unit cell a=5.5580 b=5.5580 c=23.4972 alpha=90.00 beta=90.00 gamma=120.00
Space group R-3 (No. 148, hexagonal axes)
Asymmetric unit:
Np 0.0000 0.0000 0.0000 x3
V 0.0000 0.0000 0.2555 x6
Cd 0.0000 0.0000 0.5000 x3
O 0.0000 0.0000 0.1854 x6
O 0.0037 0.6025 0.3856 x18

Output
D(E_F)	0.5973	states/eV per atom
energy	-7.580	eV per atom

Please write out number 1 again, unchanged.
Compound: NpVCd2O6
Source: the Alexandria database
Functional: GGA+U
Structure: relaxed

Unit cell a=5.5846 b=5.6852 c=9.7921 alpha=90.00 beta=124.33 gamma=90.00
Space group P2_1/c (No. 14)
Asymmetric unit:
Np 0.0000 0.0000 0.0000 x2
V 0.5000 0.0000 0.5000 x2
Cd 0.2436 0.0415 0.7488 x4
O 0.1347 0.1920 0.4453 x4
O 0.2579 0.7016 0.4394 x4
O 0.3674 0.0520 0.2610 x4

Output
D(E_F)	0.6438	states/eV per atom
energy	-7.135	eV per atom

Which value of energy does entry 3 give?
-7.580 eV per atom

Please write out number 2 again, unchanged.
Compound: NpVCd2O8
Source: the Alexandria database
Functional: GGA+U
Structure: relaxed

Unit cell a=5.0174 b=6.4386 c=5.0305 alpha=90.00 beta=92.96 gamma=90.00
Space group P2/m (No. 10)
Asymmetric unit:
Np 0.0000 0.0000 0.0000 x1
V 0.0000 0.5000 0.0000 x1
Cd 0.5000 0.2655 0.5000 x2
O 0.1722 0.2589 0.8296 x4
O 0.2602 0.5000 0.2614 x2
O 0.2803 0.0000 0.2819 x2

Output
energy	-6.928	eV per atom